The following is a GGA-PBEsol calculation of an optimized crystal structure of AlTlCl4, from Alexandria.

Cell lengths 10.4468, 6.9734, 9.4016 Å; angles 90.00, 90.00, 90.00 degrees
Last column: nearest neighbours and their distance in Å.
Space group Pnma (No. 62)
Unique sites:
1 Al 0.0595 0.2500 0.1846  4 Cl 2.14-2.15
2 Tl 0.2009 0.2500 0.7243  6 Cl 3.18-3.30
3 Cl 0.0600 0.0009 0.3201  1 Al 2.15
4 Cl 0.1093 0.7500 0.9440  1 Al 2.14
5 Cl 0.2330 0.2500 0.0621  1 Al 2.15

**Final energy**: -3.8241 eV/atom
**Magnetic moment**: 0.00 μB/cell
**Formation energy from raw total energies**: -1.365 eV per atom